# 1
## MgHgRu2 (PBE-GGA)

Data for a relaxed MgHgRu2 crystal.

Properties
space-group type = R3m, No. 160
energy relative to the elements = 228 meV/atom
magnetization = 0.00 μB/cell
E_tot = -4.88 eV/atom

Unit cell a=9.4834 b=9.4834 c=9.4834 alpha=17.57 beta=17.57 gamma=17.57
Element x y z (fractional)
Ru 0.2593 0.2593 0.2593
Ru 0.9957 0.9957 0.9957
Mg 0.7417 0.7417 0.7417
Hg 0.5033 0.5033 0.5033

=====

# 2
## Tm3Ge5O12 (PBE-GGA)

Data for a relaxed Tm3Ge5O12 crystal.

Properties
space-group type = Ia-3d, No. 230
magnetization = 0.00 μB/cell
E_tot = -6.92 eV/atom
energy relative to the elements, uncorrected = -2.115 eV per atom

Unit cell a=11.0197 b=11.0197 c=11.0197 alpha=109.47 beta=109.47 gamma=109.47
Element x y z (fractional)
O 0.9659 0.6004 0.1951
O 0.8049 0.8996 0.0341
O 0.1004 0.1951 0.4659
O 0.0341 0.6346 0.7292
O 0.3996 0.3654 0.5946
O 0.5341 0.3049 0.8996
O 0.1346 0.7292 0.5341
O 0.8049 0.9054 0.2708
O 0.4659 0.7708 0.8654
O 0.0946 0.1951 0.2292
O 0.3654 0.3996 0.0946
O 0.7292 0.5946 0.1951
O 0.2708 0.4054 0.8049
O 0.8654 0.5946 0.8996
O 0.5946 0.8654 0.3996
O 0.5946 0.7292 0.6951
O 0.7292 0.1346 0.0341
O 0.3049 0.7708 0.4054
O 0.9659 0.3654 0.2708
O 0.0341 0.3996 0.8049
O 0.6346 0.6004 0.9054
O 0.3654 0.9659 0.7708
O 0.1346 0.4054 0.1004
O 0.7708 0.4659 0.3654
O 0.3049 0.5341 0.3996
O 0.7708 0.3049 0.9054
O 0.6346 0.0341 0.2292
O 0.2292 0.5341 0.6346
O 0.1004 0.9054 0.1346
O 0.6951 0.4659 0.6004
O 0.4659 0.6951 0.1004
O 0.2708 0.8654 0.9659
O 0.8654 0.2708 0.4659
O 0.8996 0.8049 0.5341
O 0.6951 0.2292 0.5946
O 0.5341 0.2292 0.1346
O 0.8996 0.0946 0.8654
O 0.0946 0.8996 0.3654
O 0.6004 0.6346 0.4054
O 0.6004 0.9659 0.6951
O 0.1951 0.0946 0.7292
O 0.9054 0.8049 0.7708
O 0.3996 0.0341 0.3049
O 0.1951 0.1004 0.9659
O 0.4054 0.1346 0.6004
O 0.4054 0.2708 0.3049
O 0.9054 0.1004 0.6346
O 0.2292 0.6951 0.0946
Ge 0.6250 0.8750 0.2500
Ge 0.0000 0.5000 0.0000
Ge 0.0000 0.5000 0.5000
Ge 0.5000 0.0000 0.5000
Ge 0.7500 0.6250 0.3750
Ge 0.5000 0.5000 0.0000
Ge 0.5000 0.5000 0.5000
Ge 0.3750 0.2500 0.1250
Ge 0.5000 0.0000 0.0000
Ge 0.2500 0.3750 0.6250
Ge 0.1250 0.3750 0.2500
Ge 0.1250 0.7500 0.3750
Ge 0.0000 0.0000 0.5000
Ge 0.8750 0.2500 0.6250
Ge 0.8750 0.6250 0.7500
Ge 0.0000 0.0000 0.0000
Ge 0.2500 0.8750 0.1250
Ge 0.6250 0.7500 0.8750
Ge 0.3750 0.1250 0.7500
Ge 0.7500 0.1250 0.8750
Tm 0.1250 0.2500 0.8750
Tm 0.2500 0.1250 0.3750
Tm 0.1250 0.8750 0.7500
Tm 0.8750 0.1250 0.2500
Tm 0.6250 0.2500 0.3750
Tm 0.8750 0.7500 0.1250
Tm 0.2500 0.6250 0.8750
Tm 0.7500 0.3750 0.1250
Tm 0.3750 0.6250 0.2500
Tm 0.7500 0.8750 0.6250
Tm 0.3750 0.7500 0.6250
Tm 0.6250 0.3750 0.7500

=====

# 3
## Sm2SnTe5 (PBE-GGA)

Data for a relaxed Sm2SnTe5 crystal.

Properties
space-group type = Cmcm, No. 63
magnetization = 0.00 μB/cell
E_tot = -4.50 eV/atom
energy relative to the elements, uncorrected = -0.860 eV per atom

Unit cell a=6.3233 b=8.2334 c=13.9803 alpha=90.00 beta=90.00 gamma=112.58
Element x y z (fractional)
Te 0.7125 0.4250 0.2500
Te 0.2875 0.5750 0.7500
Te 0.6819 0.3638 0.9146
Te 0.3181 0.6362 0.4146
Te 0.3181 0.6362 0.0854
Te 0.0320 0.0641 0.4024
Te 0.9680 0.9359 0.9024
Te 0.9680 0.9359 0.5976
Te 0.0320 0.0641 0.0976
Te 0.6819 0.3638 0.5854
Sn 0.8064 0.6129 0.7500
Sn 0.1936 0.3871 0.2500
Sm 0.8289 0.6578 0.0706
Sm 0.1711 0.3422 0.5706
Sm 0.8289 0.6578 0.4294
Sm 0.1711 0.3422 0.9294

=====

# 4
## TaAlOF2 (PBE-GGA)

Data for a relaxed TaAlOF2 crystal.

Properties
space-group type = P4/mmm, No. 123
magnetization = 2.91 μB/cell
E_tot = -6.02 eV/atom
energy relative to the elements, uncorrected = -1.159 eV per atom

Unit cell a=4.3570 b=4.3570 c=3.3616 alpha=90.00 beta=90.00 gamma=90.00
Element x y z (fractional)
O 0.0000 0.0000 0.5000
F 0.0000 0.5000 0.0000
F 0.5000 0.0000 0.0000
Ta 0.5000 0.5000 0.5000
Al 0.0000 0.0000 0.0000

=====

# 5
## LaPmZnCd (PBE-GGA)

Data for a relaxed LaPmZnCd crystal.

Properties
space-group type = F-43m, No. 216
energy relative to the elements = -295 meV/atom
magnetization = 0.00 μB/cell
E_tot = -3.26 eV/atom

Unit cell a=5.3782 b=5.3782 c=5.3782 alpha=60.00 beta=60.00 gamma=60.00
Element x y z (fractional)
La 0.0000 0.0000 0.0000
Zn 0.2500 0.2500 0.2500
Cd 0.7500 0.7500 0.7500
Pm 0.5000 0.5000 0.5000

=====

# 6
## As3Br (PBE-GGA)

Data for a relaxed As3Br crystal.

Properties
space-group type = P4/mmm, No. 123
magnetization = 0.00 μB/cell
E_tot = -3.34 eV/atom
energy relative to the elements, uncorrected = 0.570 eV per atom

Unit cell a=5.0700 b=5.0700 c=3.2164 alpha=90.00 beta=90.00 gamma=90.00
Element x y z (fractional)
Br 0.0000 0.0000 0.0000
As 0.5000 0.0000 0.5000
As 0.0000 0.5000 0.5000
As 0.5000 0.5000 0.0000